Entry from Alexandria: a relaxed Ti3NbFe2P6O24 crystal (PBE+U).

```
Ti3NbFe2P6O24
1.0
-4.299 -3.331 6.674
-7.650 -3.688 -1.407
-0.673 -8.557 0.658
O P Ti Fe Nb
24 6 3 2 1
Direct
0.761 0.412 0.555
0.591 0.439 0.240
0.184 0.386 0.999
0.059 0.909 0.259
0.259 0.059 0.909
0.500 0.885 0.685
0.999 0.184 0.386
0.555 0.761 0.412
0.736 0.944 0.097
0.097 0.736 0.944
0.240 0.591 0.439
0.007 0.816 0.608
0.412 0.555 0.761
0.386 0.999 0.184
0.608 0.007 0.816
0.496 0.113 0.322
0.685 0.500 0.885
0.113 0.322 0.496
0.909 0.259 0.059
0.439 0.240 0.591
0.944 0.097 0.736
0.816 0.608 0.007
0.885 0.685 0.500
0.322 0.496 0.113
0.539 0.956 0.255
0.749 0.452 0.046
0.452 0.046 0.749
0.255 0.539 0.956
0.046 0.749 0.452
0.956 0.255 0.539
0.356 0.356 0.356
0.144 0.144 0.144
0.644 0.644 0.644
0.002 0.002 0.002
0.500 0.500 0.500
0.858 0.858 0.858
```

Calculated values
Calculated total energy in eV per atom: -7.80
Density of states at the Fermi level in states/eV/atom: 0.28